Computed, not measured: a geometry-optimized La3Nd4Cd structure at the PBE level of DFT.

* spin magnetization: 0.001 μB per cell
* energy relative to the elements: 0.280 eV/atom

Cell and atoms, written as POSCAR:
```
La3Nd4Cd
1.0
-3.232 4.538 4.939
3.232 -4.538 4.939
3.232 4.538 -4.939
La Nd Cd
3 4 1
Direct
0.000 0.000 0.000 La
0.494 0.661 0.833 La
0.829 0.661 0.167 La
0.036 0.366 0.670 Nd
0.306 0.047 0.741 Nd
0.306 0.565 0.259 Nd
0.696 0.366 0.330 Nd
0.585 0.085 0.500 Cd
```

=====

Computed, not measured: a geometry-optimized La5Nd2Cd structure at the PBE level of DFT.

* spin magnetization: 0.000 μB per cell
* energy relative to the elements: -0.058 eV/atom

Cell and atoms, written as POSCAR:
```
La5Nd2Cd
1.0
5.118 -5.153 0.000
5.118 5.153 0.000
-5.116 0.000 5.149
La Nd Cd
5 2 1
Direct
0.000 0.000 0.000 La
0.000 0.000 0.500 La
0.001 0.500 0.000 La
0.500 0.001 0.000 La
0.500 0.500 0.500 La
0.001 0.500 0.501 Nd
0.500 0.001 0.501 Nd
0.500 0.500 0.000 Cd
```

=====

Computed, not measured: a geometry-optimized La2Nd2Cd3 structure at the PBE level of DFT.

* spin magnetization: 0.012 μB per cell
* energy relative to the elements: -0.176 eV/atom

Cell and atoms, written as POSCAR:
```
La2Nd2Cd3
1.0
5.397 0.000 0.000
2.692 4.693 0.000
2.683 1.507 8.779
La Nd Cd
2 2 3
Direct
0.131 0.130 0.108 La
0.869 0.870 0.892 La
0.381 0.381 0.357 Nd
0.619 0.619 0.643 Nd
0.000 0.000 0.500 Cd
0.256 0.256 0.731 Cd
0.744 0.744 0.269 Cd
```

=====

Computed, not measured: a geometry-optimized La2NdCd4 structure at the PBE level of DFT.

* spin magnetization: 0.000 μB per cell
* energy relative to the elements: -0.134 eV/atom

Cell and atoms, written as POSCAR:
```
La2NdCd4
1.0
2.711 1.565 8.881
-2.711 1.565 8.881
0.000 -3.131 8.881
La Nd Cd
2 1 4
Direct
0.248 0.248 0.248 La
0.752 0.752 0.752 La
0.000 0.000 0.000 Nd
0.125 0.125 0.125 Cd
0.377 0.377 0.377 Cd
0.623 0.623 0.623 Cd
0.875 0.875 0.875 Cd
```

=====

Computed, not measured: a geometry-optimized La4NdCd structure at the PBE level of DFT.

* spin magnetization: 0.000 μB per cell
* energy relative to the elements: -0.106 eV/atom

Cell and atoms, written as POSCAR:
```
La4NdCd
1.0
3.782 0.000 0.000
0.000 3.782 0.000
0.000 0.000 14.391
La Nd Cd
4 1 1
Direct
0.000 0.000 0.147 La
0.000 0.000 0.853 La
0.500 0.500 0.322 La
0.500 0.500 0.678 La
0.000 0.000 0.500 Nd
0.500 0.500 0.000 Cd
```

=====

Computed, not measured: a geometry-optimized La3NdCd structure at the PBE level of DFT.

* spin magnetization: 0.000 μB per cell
* energy relative to the elements: -0.001 eV/atom

Cell and atoms, written as POSCAR:
```
La3NdCd
1.0
5.949 0.000 0.000
0.000 7.664 0.000
-2.969 0.000 7.858
La Nd Cd
6 2 2
Direct
0.115 0.250 0.228 La
0.322 0.002 0.644 La
0.322 0.498 0.644 La
0.678 0.502 0.356 La
0.678 0.998 0.356 La
0.885 0.750 0.772 La
0.122 0.750 0.244 Nd
0.878 0.250 0.756 Nd
0.500 0.250 0.998 Cd
0.500 0.750 0.002 Cd
```

=====

| no. | total DFT energy (no corrections) (eV per formula unit) |
| --- | --- |
| 1 | -32.53 |
| 2 | -35.56 |
| 3 | -23.37 |
| 4 | -19.22 |
| 5 | -26.03 |
| 6 | -20.47 |